VASP calculation (PBE-GGA) on a geometry-optimized MgNbAg structure.

The structure in extended XYZ format:
```
6
Lattice="5.283 0.048 -0.005 -0.828 2.870 0.016 3.145 -0.826 7.371" Properties=species:S:1:pos:R:3 pbc="T T T"
Mg 5.396 2.027 2.973
Mg 2.627 1.164 1.022
Nb 6.871 0.937 5.506
Nb 4.297 1.428 5.859
Ag 5.266 0.456 0.527
Ag 3.584 -0.134 3.451
```

Output
DOS(E_F) (states/eV per atom): 0.49
Energy above the lowest structure with this stoichiometry (meV per atom): 40
Symmetry: P-1, No. 2
E_form (eV per atom): 0.09

VASP calculation (PBE-GGA) on a geometry-optimized YRh3Br structure.

The structure in extended XYZ format:
```
5
Lattice="4.649 0.000 0.000 0.000 4.649 0.000 0.000 0.000 4.649" Properties=species:S:1:pos:R:3 pbc="T T T"
Y 2.325 2.325 2.325
Rh 0.000 2.325 0.000
Rh 0.000 0.000 2.325
Rh 2.325 0.000 0.000
Br 0.000 0.000 0.000
```

Output
DOS(E_F) (states/eV per atom): 0.89
Symmetry: Pm-3m, No. 221
E (eV/atom): -5.783

VASP calculation (PBE-GGA) on a geometry-optimized LaCeMgPa structure.

The structure in extended XYZ format:
```
4
Lattice="5.446 0.000 0.000 2.723 4.717 0.000 2.723 1.572 4.447" Properties=species:S:1:pos:R:3 pbc="T T T"
Mg 8.169 4.717 3.335
Pa 2.723 1.572 1.112
Ce 0.000 0.000 0.000
La 5.446 3.144 2.223
```

Output
DOS(E_F) (states/eV per atom): 2.98
Symmetry: F-43m, No. 216
E_form (eV per atom): 0.33

VASP calculation (PBE-GGA) on a geometry-optimized NaLi2HgP structure.

The structure in extended XYZ format:
```
5
Lattice="4.775 0.000 0.000 0.000 4.775 0.000 0.000 0.000 5.466" Properties=species:S:1:pos:R:3 pbc="T T T"
P 0.000 0.000 0.000
Li 0.000 2.388 0.000
Li 2.388 0.000 0.000
Hg 2.388 2.388 2.733
Na 0.000 0.000 2.733
```

Output
Symmetry: P4/mmm, No. 123
E_form (eV per atom): -0.37

What did the third record say?
VASP calculation (PBE-GGA) on a geometry-optimized LaCeMgPa structure.

The structure in extended XYZ format:
```
4
Lattice="5.446 0.000 0.000 2.723 4.717 0.000 2.723 1.572 4.447" Properties=species:S:1:pos:R:3 pbc="T T T"
Mg 8.169 4.717 3.335
Pa 2.723 1.572 1.112
Ce 0.000 0.000 0.000
La 5.446 3.144 2.223
```

Output
DOS(E_F) (states/eV per atom): 2.98
Symmetry: F-43m, No. 216
E_form (eV per atom): 0.33